DFT (PBE) results for a relaxed structure of SbAsPt2.

Computed properties:
**Energy relative to the elements, uncorrected**: 18.7 kJ/mol of atoms
**Polymorph energy (0 for the lowest one)**: 550.0 meV per atom
**Spin magnetization**: 0.00 μB per cell

Unit cell a=6.6635 b=6.6635 c=6.6635 alpha=90.00 beta=90.00 gamma=90.00
With the nearest neighbours (Å) after each atom.
Space group F-43m (No. 216)
Unique sites:
Sb: 0.0000 0.0000 0.0000 (multiplicity 4)  4 As 2.89, 4 Pt 2.89
As: 0.2500 0.2500 0.2500 (multiplicity 4)  4 Pt 2.89, 4 Sb 2.89
Pt: 0.0000 0.0000 0.5000 (multiplicity 4)  4 Pt 2.89, 4 As 2.89
Pt: 0.2500 0.2500 0.7500 (multiplicity 4)  4 Sb 2.89, 4 Pt 2.89

=====

DFT (PBE) results for a relaxed structure of SrCu2Ni.

Computed properties:
**Energy relative to the elements**: 0.82 eV per formula unit
**Spin magnetization**: 0.00 μB per cell

Unit cell a=3.7683 b=3.6958 c=5.6266 alpha=90.00 beta=90.66 gamma=90.00
With the nearest neighbours (Å) after each atom.
Space group Pm (No. 6)
Unique sites:
Sr: 0.0000 0.0000 0.0000 (multiplicity 1)  4 Ni 2.99, 4 Cu 3.29-3.34
Cu: 0.4956 0.0000 0.4852 (multiplicity 1)  2 Ni 2.37, 4 Cu 2.63-2.65
Cu: 0.9930 0.5000 0.4902 (multiplicity 1)  2 Ni 2.38, 4 Cu 2.63-2.65
Ni: 0.4969 0.5000 0.7495 (multiplicity 1)  4 Cu 2.37-2.38

=====

DFT (PBE) results for a relaxed structure of RbAg4Te2.

Computed properties:
**Energy relative to the elements, uncorrected**: 54.1 kJ/mol of atoms
**Polymorph energy (0 for the lowest one)**: 809.2 meV per atom
**Spin magnetization**: 0.00 μB per cell

Unit cell a=5.5950 b=5.5950 c=16.4415 alpha=90.00 beta=90.00 gamma=90.00
With the nearest neighbours (Å) after each atom.
Space group I4/mmm (No. 139)
Unique sites:
Rb: 0.0000 0.0000 0.0000 (multiplicity 2)  4 Ag 2.80
Ag: 0.0000 0.0000 0.2353 (multiplicity 4)  1 Te 2.66
Ag: 0.0000 0.5000 0.0000 (multiplicity 4)  2 Rb 2.80
Te: 0.0000 0.0000 0.3972 (multiplicity 4)  1 Ag 2.66

=====

spin magnetization of number 1 (SbAsPt2)?
0.00 μB per cell